{
  "formula": "Cr2CuSb",
  "functional": "PBEsol",
  "state": "relaxed",
  "dos_at_fermi_per_ev_fu": 3.2,
  "magmom_total_mub_per_atom": 0.008,
  "density_g_cm3": 8.37,
  "formation_energy_uncorrected_ev_per_atom": 0.30,
  "final_energy_ev_per_cell": -28.193,
  "cell": [[-1.9597, 1.9597, 3.7343], [1.9597, -1.9597, 3.7343], [1.9597, 1.9597, -3.7343]],
  "species": ["Cr", "Cr", "Cu", "Sb"],
  "frac_coords": [[0.0000, 0.0000, 0.0000], [0.7500, 0.2500, 0.5000], [0.5000, 0.5000, 0.0000], [0.2500, 0.7500, 0.5000]]
}



{
  "formula": "MgRh3N",
  "functional": "PBEsol",
  "state": "relaxed",
  "dos_at_fermi_per_ev_fu": 4.0,
  "magmom_total_mub_per_atom": 0.000,
  "density_g_cm3": 8.91,
  "formation_energy_uncorrected_ev_per_atom": -0.22,
  "final_energy_ev_per_cell": -35.760,
  "cell": [[4.0137, 0.0000, 0.0000], [0.0000, 4.0137, 0.0000], [0.0000, 0.0000, 4.0137]],
  "species": ["Mg", "Rh", "Rh", "Rh", "N"],
  "frac_coords": [[0.0000, 0.0000, 0.0000], [0.0000, 0.5000, 0.5000], [0.5000, 0.0000, 0.5000], [0.5000, 0.5000, 0.0000], [0.5000, 0.5000, 0.5000]]
}



{
  "formula": "TiAs2PtBr",
  "functional": "PBEsol",
  "state": "relaxed",
  "dos_at_fermi_per_ev_fu": 4.6,
  "magmom_total_mub_per_atom": 0.000,
  "density_g_cm3": 7.14,
  "formation_energy_uncorrected_ev_per_atom": 0.53,
  "final_energy_ev_per_cell": -24.717,
  "cell": [[4.8698, 0.0000, 0.0000], [0.0000, 4.8698, 0.0000], [0.0000, 0.0000, 4.6368]],
  "species": ["Ti", "As", "As", "Pt", "Br"],
  "frac_coords": [[0.0000, 0.0000, 0.0000], [0.0000, 0.5000, 0.0000], [0.5000, 0.0000, 0.0000], [0.5000, 0.5000, 0.5000], [0.0000, 0.0000, 0.5000]]
}



{
  "formula": "BaLiN2",
  "functional": "PBEsol",
  "state": "relaxed",
  "dos_at_fermi_per_ev_fu": 1.3,
  "magmom_total_mub_per_atom": 0.750,
  "density_g_cm3": 4.51,
  "formation_energy_uncorrected_ev_per_atom": 0.57,
  "final_energy_ev_per_cell": -18.882,
  "cell": [[0.0000, 3.1642, 3.1642], [3.1642, 0.0000, 3.1642], [3.1642, 3.1642, 0.0000]],
  "species": ["Ba", "Li", "N", "N"],
  "frac_coords": [[0.0000, 0.0000, 0.0000], [0.5000, 0.5000, 0.5000], [0.2500, 0.2500, 0.2500], [0.7500, 0.7500, 0.7500]]
}



{
  "formula": "Mg5In",
  "functional": "PBEsol",
  "state": "relaxed",
  "dos_at_fermi_per_ev_fu": 2.3,
  "magmom_total_mub_per_atom": 0.000,
  "density_g_cm3": 2.91,
  "formation_enthalpy_0k_mev_per_atom": -45,
  "final_energy_ev_per_cell": -11.841,
  "cell": [[5.8841, -1.5689, 0.0000], [5.8841, 1.5689, 0.0000], [-2.0983, 0.0000, 7.3061]],
  "species": ["Mg", "Mg", "Mg", "Mg", "Mg", "In"],
  "frac_coords": [[0.0000, 0.0000, 0.0000], [0.0551, 0.0551, 0.6151], [0.3919, 0.3919, 0.2801], [0.6676, 0.6676, 0.3365], [0.7231, 0.7231, 0.9502], [0.3314, 0.3314, 0.6669]]
}



{
  "formula": "Mo3Os",
  "functional": "PBEsol",
  "state": "relaxed",
  "dos_at_fermi_per_ev_fu": 3.7,
  "magmom_total_mub_per_atom": 0.000,
  "density_g_cm3": 13.19,
  "formation_enthalpy_0k_mev_per_atom": 236,
  "final_energy_ev_per_cell": -46.577,
  "cell": [[2.7339, 0.0000, 0.0000], [0.0000, 3.9423, 0.0000], [0.0000, 0.0000, 5.5859]],
  "species": ["Mo", "Mo", "Mo", "Os"],
  "frac_coords": [[0.0000, 0.0000, 0.0000], [0.5000, 0.5000, 0.2572], [0.5000, 0.5000, 0.7428], [0.0000, 0.0000, 0.5000]]
}



{
  "formula": "B",
  "functional": "PBEsol",
  "state": "relaxed",
  "dos_at_fermi_per_ev_fu": 0.3,
  "magmom_total_mub_per_atom": 0.000,
  "density_g_cm3": 2.35,
  "formation_enthalpy_0k_mev_per_atom": 89,
  "final_energy_ev_per_cell": -346.382,
  "cell": [[8.8046, 0.0000, 0.0000], [0.0000, 8.8046, 0.0000], [0.0000, 0.0000, 4.9344]],
  "species": ["B", "B", "B", "B", "B", "B", "B", "B", "B", "B", "B", "B", "B", "B", "B", "B", "B", "B", "B", "B", "B", "B", "B", "B", "B", "B", "B", "B", "B", "B", "B", "B", "B", "B", "B", "B", "B", "B", "B", "B", "B", "B", "B", "B", "B", "B", "B", "B", "B", "B"],
  "frac_coords": [[0.0038, 0.5038, 0.1730], [0.0038, 0.9962, 0.3270], [0.0221, 0.6672, 0.6599], [0.0221, 0.8328, 0.8401], [0.0803, 0.1638, 0.8456], [0.0803, 0.3362, 0.6544], [0.1212, 0.6212, 0.3569], [0.1212, 0.8788, 0.1431], [0.1638, 0.0803, 0.1544], [0.1638, 0.4197, 0.3456], [0.1672, 0.5221, 0.6599], [0.1672, 0.9779, 0.8401], [0.2500, 0.7500, 0.2500], [0.3328, 0.5221, 0.8401], [0.3328, 0.9779, 0.6599], [0.3362, 0.0803, 0.3456], [0.3362, 0.4197, 0.1544], [0.3788, 0.6212, 0.1431], [0.3788, 0.8788, 0.3569], [0.4197, 0.1638, 0.6544], [0.4197, 0.3362, 0.8456], [0.4779, 0.6672, 0.8401], [0.4779, 0.8328, 0.6599], [0.4962, 0.5038, 0.3270], [0.4962, 0.9962, 0.1730], [0.5038, 0.0038, 0.8270], [0.5038, 0.4962, 0.6730], [0.5221, 0.1672, 0.3401], [0.5221, 0.3328, 0.1599], [0.5803, 0.6638, 0.1544], [0.5803, 0.8362, 0.3456], [0.6212, 0.1212, 0.6431], [0.6212, 0.3788, 0.8569], [0.6638, 0.5803, 0.8456], [0.6638, 0.9197, 0.6544], [0.6672, 0.0221, 0.3401], [0.6672, 0.4779, 0.1599], [0.7500, 0.2500, 0.7500], [0.8328, 0.0221, 0.1599], [0.8328, 0.4779, 0.3401], [0.8362, 0.5803, 0.6544], [0.8362, 0.9197, 0.8456], [0.8788, 0.1212, 0.8569], [0.8788, 0.3788, 0.6431], [0.9197, 0.6638, 0.3456], [0.9197, 0.8362, 0.1544], [0.9779, 0.1672, 0.1599], [0.9779, 0.3328, 0.3401], [0.9962, 0.0038, 0.6730], [0.9962, 0.4962, 0.8270]]
}



{
  "formula": "Hf3CrCu",
  "functional": "PBEsol",
  "state": "relaxed",
  "dos_at_fermi_per_ev_fu": 6.0,
  "magmom_total_mub_per_atom": 0.000,
  "density_g_cm3": 10.49,
  "formation_enthalpy_0k_mev_per_atom": 822,
  "final_energy_ev_per_cell": -41.976,
  "cell": [[4.6877, 0.0000, 0.0000], [0.0000, 4.6877, 0.0000], [0.0000, 0.0000, 4.6877]],
  "species": ["Hf", "Hf", "Hf", "Cr", "Cu"],
  "frac_coords": [[0.0000, 0.0000, 0.5000], [0.0000, 0.5000, 0.0000], [0.5000, 0.0000, 0.0000], [0.0000, 0.0000, 0.0000], [0.5000, 0.5000, 0.5000]]
}



{
  "formula": "NaPm2Sn",
  "functional": "PBEsol",
  "state": "relaxed",
  "dos_at_fermi_per_ev_fu": 2.7,
  "magmom_total_mub_per_atom": 0.000,
  "density_g_cm3": 6.56,
  "formation_enthalpy_0k_mev_per_atom": -349,
  "final_energy_ev_per_cell": -17.329,
  "cell": [[0.0000, 3.7947, 3.7947], [3.7947, 0.0000, 3.7947], [3.7947, 3.7947, 0.0000]],
  "species": ["Na", "Pm", "Pm", "Sn"],
  "frac_coords": [[0.0000, 0.0000, 0.0000], [0.2500, 0.2500, 0.2500], [0.7500, 0.7500, 0.7500], [0.5000, 0.5000, 0.5000]]
}



{
  "formula": "TiRe3Te",
  "functional": "PBEsol",
  "state": "relaxed",
  "dos_at_fermi_per_ev_fu": 6.5,
  "magmom_total_mub_per_atom": 0.000,
  "density_g_cm3": 12.75,
  "formation_energy_uncorrected_ev_per_atom": 1.98,
  "final_energy_ev_per_cell": -41.958,
  "cell": [[4.5729, 0.0000, 0.0000], [0.0000, 4.5729, 0.0000], [0.0000, 0.0000, 4.5729]],
  "species": ["Ti", "Re", "Re", "Re", "Te"],
  "frac_coords": [[0.0000, 0.0000, 0.0000], [0.0000, 0.0000, 0.5000], [0.0000, 0.5000, 0.0000], [0.5000, 0.0000, 0.0000], [0.5000, 0.5000, 0.5000]]
}



{
  "formula": "CsBr3N",
  "functional": "PBEsol",
  "state": "relaxed",
  "dos_at_fermi_per_ev_fu": 2.5,
  "magmom_total_mub_per_atom": 0.104,
  "density_g_cm3": 5.30,
  "formation_energy_uncorrected_ev_per_atom": 0.08,
  "final_energy_ev_per_cell": -14.680,
  "cell": [[4.9485, 0.0000, 0.0000], [0.0000, 4.9485, 0.0000], [0.0000, 0.0000, 4.9485]],
  "species": ["Cs", "Br", "Br", "Br", "N"],
  "frac_coords": [[0.0000, 0.0000, 0.0000], [0.0000, 0.5000, 0.5000], [0.5000, 0.0000, 0.5000], [0.5000, 0.5000, 0.0000], [0.5000, 0.5000, 0.5000]]
}



{
  "formula": "LuNi5",
  "functional": "PBEsol",
  "state": "relaxed",
  "dos_at_fermi_per_ev_fu": 7.0,
  "magmom_total_mub_per_atom": 0.211,
  "density_g_cm3": 10.25,
  "formation_enthalpy_0k_mev_per_atom": -345,
  "final_energy_ev_per_cell": -37.731,
  "cell": [[4.7397, 0.0000, 0.0000], [-2.3698, 4.1047, 0.0000], [0.0000, 0.0000, 3.9012]],
  "species": ["Lu", "Ni", "Ni", "Ni", "Ni", "Ni"],
  "frac_coords": [[0.0000, 0.0000, 0.0000], [0.0000, 0.5000, 0.5000], [0.3333, 0.6667, 0.0000], [0.5000, 0.0000, 0.5000], [0.5000, 0.5000, 0.5000], [0.6667, 0.3333, 0.0000]]
}



{
  "formula": "MgTlSb2Au",
  "functional": "PBEsol",
  "state": "relaxed",
  "dos_at_fermi_per_ev_fu": 2.9,
  "magmom_total_mub_per_atom": 0.000,
  "density_g_cm3": 7.58,
  "formation_energy_uncorrected_ev_per_atom": 0.18,
  "final_energy_ev_per_cell": -16.492,
  "cell": [[5.4074, 0.0000, 0.0000], [0.0000, 5.4074, 0.0000], [0.0000, 0.0000, 5.0131]],
  "species": ["Mg", "Tl", "Sb", "Sb", "Au"],
  "frac_coords": [[0.0000, 0.0000, 0.0000], [0.5000, 0.5000, 0.0000], [0.0000, 0.5000, 0.5000], [0.5000, 0.0000, 0.5000], [0.0000, 0.0000, 0.5000]]
}